1.
The following is a GGA+U calculation of an optimized crystal structure of VCuGeO2, from the Alexandria database.

abc: 3.795 3.795 4.866
angles: 90.00 90.00 90.00
Space group P4/mmm (No. 123)
Asymmetric unit:
V 0.000 0.000 0.000
Cu 0.500 0.500 0.000
Ge 0.500 0.500 0.500
O 0.000 0.500 0.500

Results
- E above lowest polymorph: 0 meV/atom


2.
The following is a GGA+U calculation of an optimized crystal structure of CuGe2WO8, from the Alexandria database.

abc: 6.481 6.481 6.338
angles: 90.00 90.00 90.00
Space group I-4m2 (No. 119)
Asymmetric unit:
Cu 0.000 0.000 0.000
Ge 0.000 0.000 0.500
Ge 0.000 0.500 0.250
W 0.000 0.500 0.750
O 0.000 0.205 0.680
O 0.000 0.313 0.043

Results
- E_tot: -6.3598 eV/atom


3.
The following is a GGA+U calculation of an optimized crystal structure of CuGeW2O, from the Alexandria database.

abc: 5.032 5.032 4.256
angles: 90.00 90.00 90.00
Space group P4/mmm (No. 123)
Asymmetric unit:
Cu 0.000 0.000 0.000
Ge 0.000 0.000 0.500
W 0.000 0.500 0.000
O 0.500 0.500 0.500

Results
- E_tot: -3.9531 eV/atom


Number 1: magnetization 3.43 μB per formula unit, calculated volume 14.01 A^3/atom. Number 2: magnetization 0.89 μB per formula unit, calculated volume 11.09 A^3/atom. Number 3: magnetization 6.98 μB per formula unit, calculated volume 21.55 A^3/atom.